Here is a relaxed structure of Dy2Os2O5 from OQMD via LeMat-Bulk. Energies are from PBE.

Results
- Polymorph energy (0 for the lowest one): 0 meV per atom

a b c (Å): 6.9410 3.9286 3.9286
angles (deg): 90.00 90.00 90.00
Fractional coordinates of all 9 atoms:
O 0.2389 0.5000 0.0000
Os 0.8128 0.5000 0.5000
O 0.5000 0.5000 0.5000
O 0.7611 0.0000 0.5000
Dy 0.0000 0.0000 0.0000
Dy 0.5000 0.0000 0.0000
O 0.2389 0.0000 0.5000
Os 0.1872 0.5000 0.5000
O 0.7611 0.5000 0.0000